1.
! AcErPb (PBE, optimized geometry); values from VASP
! ΔH_f (0 K), eV per atom: -0.228
! DFT total energy, hartree per atom: -0.1600
! Crystal system: tetragonal
! Space group: I4mm (107)
! Spin magnetization, μB per atom: 0.4086
! ΔE to the lowest computed polymorph, meV/atom: 224
&SYSTEM
  ibrav = 0, nat = 3, ntyp = 3
/
ATOMIC_SPECIES
Pb 207.20 Pb.upf
Ac 227.00 Ac.upf
Er 167.26 Er.upf
ATOMIC_POSITIONS angstrom
Pb 2.0204 2.0204 1.7147
Ac 2.0204 2.0204 5.7966
Er 0.0000 0.0000 3.2773
CELL_PARAMETERS angstrom
4.0408 0.0000 0.0000
0.0000 4.0408 0.0000
-2.0204 -2.0204 6.3462



2.
! Ac4Sn2H (PBE, optimized geometry); values from VASP
! DFT total energy, hartree per atom: -0.1652
! Crystal system: monoclinic
! Space group: P2_1/m (11)
! Spin magnetization, μB per atom: 0.0000
! ΔE to the lowest computed polymorph, meV/atom: 0
&SYSTEM
  ibrav = 0, nat = 14, ntyp = 3
/
ATOMIC_SPECIES
Ac 227.00 Ac.upf
Sn 118.71 Sn.upf
H 1.01 H.upf
ATOMIC_POSITIONS angstrom
Ac 2.9491 -4.2123 -0.9855
Ac 9.5946 -0.8247 -4.2152
Ac 0.5541 -5.9282 1.9545
Ac 3.5395 -6.2400 -3.9329
Ac 5.8349 -4.4048 1.9643
Ac 6.6092 -0.5128 1.6722
Ac 7.1996 -2.5406 -1.2752
Ac 4.3138 -2.3481 -4.2250
Sn 0.9320 -6.9679 -1.7241
Sn 9.2167 0.2151 -0.5366
Sn 4.1332 -0.9166 -0.7763
Sn 6.0155 -5.8362 -1.4844
H 2.5759 -4.0008 -3.4361
H 7.5729 -2.7521 1.1754
CELL_PARAMETERS angstrom
-0.4890 -5.7948 3.8887
1.1832 -4.0636 -5.9067
9.4546 3.1056 -0.2427